--- w ---
Entry from Alexandria: a relaxed K2SrAg crystal (GGA-PBE).

Unit cell a=11.0314 b=11.0314 c=8.4991 alpha=49.54 beta=49.54 gamma=90.00
Closest atoms and distances in Å follow each position.
Positions (direct):
Ag  0.0000  0.0000  0.0000  2 Sr 3.37, 4 K 3.38
Ag  0.7500  0.2500  0.5000  2 Sr 3.37, 4 K 3.38
Sr  0.2500  0.7500  0.5000  2 Ag 3.37
Sr  0.5000  0.5000  0.0000  2 Ag 3.37
K  0.3750  0.2846  0.7500  2 Ag 3.38
K  0.0346  0.6250  0.2500  2 Ag 3.38
K  0.8750  0.9654  0.7500  2 Ag 3.38
K  0.7154  0.1250  0.2500  2 Ag 3.38

The value obtained for the calculated volume is 51.3 Å³/atom. The theoretical density comes out at 2.21 g cm⁻³.

--- x ---
Entry from Alexandria: a relaxed K2SrAg crystal (GGA-PBE).

Unit cell a=6.3669 b=6.3669 c=6.3669 alpha=60.00 beta=60.00 gamma=60.00
Closest atoms and distances in Å follow each position.
Positions (direct):
K  0.2500  0.2500  0.2500  4 Sr 3.90, 4 Ag 3.90
K  0.7500  0.7500  0.7500  4 Sr 3.90, 4 Ag 3.90
Sr  0.0000  0.0000  0.0000  8 K 3.90
Ag  0.5000  0.5000  0.5000  8 K 3.90

The value obtained for the calculated volume is 45.6 Å³/atom. The theoretical density comes out at 2.49 g cm⁻³.

Ordering by calculated energy gives the sequence w, x, with the first entry being the most stable.

--- w ---
Entry from Alexandria: a relaxed KSr3Ag crystal (GGA-PBE).

Unit cell a=6.8634 b=6.8638 c=11.9353 alpha=96.73 beta=96.72 gamma=63.27
Closest atoms and distances in Å follow each position.
Positions (direct):
Sr  0.2325  0.1983  0.2827  2 Ag 3.39
Sr  0.1356  0.1016  0.7719  2 Ag 3.39
Sr  0.5834  0.5492  0.3285  2 Ag 3.28
Sr  0.7848  0.7507  0.7260  2 Ag 3.28
Sr  0.4433  0.4092  0.6131  4 Ag 3.40-3.77
Sr  0.9247  0.8906  0.4414  4 Ag 3.40-3.78
K  0.5002  0.4660  0.9662  5 Sr 4.18-4.68, 3 K 4.25-4.35
K  0.8682  0.8340  0.0882  5 Sr 4.18-4.68, 3 K 4.25-4.35
Ag  0.9783  0.3553  0.5273  1 Ag 2.96, 2 Sr 3.28
Ag  0.3896  0.9443  0.5273  1 Ag 2.96, 2 Sr 3.28

The value obtained for the calculated volume is 49.7 Å³/atom. The theoretical density comes out at 2.74 g cm⁻³.

--- x ---
Entry from Alexandria: a relaxed KSr3Ag crystal (GGA-PBE).

Unit cell a=7.0196 b=7.0196 c=7.0196 alpha=90.00 beta=90.00 gamma=90.00
Closest atoms and distances in Å follow each position.
Positions (direct):
Sr  0.0000  0.0000  0.5000  2 K 3.51
Sr  0.5000  0.0000  0.0000  2 K 3.51
Sr  0.0000  0.5000  0.0000  2 K 3.51
Ag  0.5000  0.5000  0.5000  12 Sr 4.96
K  0.0000  0.0000  0.0000  6 Sr 3.51

The value obtained for the calculated volume is 69.2 Å³/atom. The theoretical density comes out at 1.97 g cm⁻³.

Ordering by calculated energy gives the sequence w, x, with the first entry being the most stable.